Entry from the Alexandria database: Ac4AlAg3 after structural relaxation (PBE).

a = 3.9418 Å, b = 3.9418 Å, c = 16.0110 Å
α = 90.00°, β = 90.00°, γ = 90.00°
Closest atoms and distances in Å follow each position.
Fractional positions:
Ac 0.0000 0.0000 0.8766  4 Al 3.42, 4 Ag 3.46
Ac 0.0000 0.0000 0.1234  4 Al 3.42, 4 Ag 3.46
Ac 0.0000 0.0000 0.3743  8 Ag 3.41-3.44
Ac 0.0000 0.0000 0.6258  8 Ag 3.41-3.44
Al 0.5000 0.5000 0.0000  8 Ac 3.42
Ag 0.5000 0.5000 0.2510  8 Ac 3.41-3.46
Ag 0.5000 0.5000 0.5000  8 Ac 3.44
Ag 0.5000 0.5000 0.7490  8 Ac 3.41-3.46

Computed properties:
Total magnetic moment   0.00 Bohr magnetons per cell
Distance to the lowest polymorph of the same formula   0.000 eV/atom
Final energy   -3.845 eV/atom
ΔH_f (0 K)   -24.5 kJ/mol of atoms
Symmetry   No. 123